(1)
Here is a relaxed CdIrSe2 crystal from Alexandria. Energies are from PBE-GGA.

Values from the calculation:
Formation energy without anion corrections in meV per atom: 174

Cell and atoms, written as CIF:
```
data_CdIrSe2
_chemical_formula_sum 'Cd3 Ir3 Se6'
_space_group_name_H-M_alt 'R -3 m'
_space_group_IT_number 166
_space_group_name_Hall '-R 3 2"'
_cell_length_a 2.8892
_cell_length_b 2.8892
_cell_length_c 34.5085
_cell_angle_alpha 90.00
_cell_angle_beta 90.00
_cell_angle_gamma 120.00
loop_
_atom_site_label
_atom_site_fract_x
_atom_site_fract_y
_atom_site_fract_z
Cd1 0.0000 0.0000 0.0000
Ir1 0.0000 0.0000 0.5000
Se1 0.0000 0.0000 0.4304
```

---

(2)
Here is a relaxed CdHg2Pb crystal from Alexandria. Energies are from PBE-GGA.

Values from the calculation:
Formation energy in meV/atom: 37

Cell and atoms, written as CIF:
```
data_CdHg2Pb
_chemical_formula_sum 'Cd1 Hg2 Pb1'
_space_group_name_H-M_alt 'P 1 m 1'
_space_group_IT_number 6
_cell_length_a 3.392
_cell_length_b 5.063
_cell_length_c 6.249
_cell_angle_alpha 90.00
_cell_angle_beta 91.75
_cell_angle_gamma 90.00
loop_
_space_group_symop_operation_xyz
'x,y,z'
'x,-y,z'
loop_
_atom_site_label
_atom_site_fract_x
_atom_site_fract_y
_atom_site_fract_z
Cd1 0.000 0.000 0.000
Hg1 0.306 0.500 0.254
Hg2 0.918 0.000 0.486
Pb1 0.539 0.500 0.759
```

---

no.,uncorrected energy (eV per formula unit),total magnetic moment (μB/atom)
1,-16.048,0.000
2,-5.079,0.000